Entry 1:
The following is a DFT calculation (PBE) of a geometry-optimized Rb8Ag2O structure.

Lattice parameters (Å, degrees): 12.4393 12.4393 7.9680 107.72 107.72 28.31
Positions (direct):
Rb 0.0009 0.0009 0.2754
Rb 0.2376 0.2376 0.7451
Rb 0.4034 0.4034 0.6315
Rb 0.4062 0.4062 0.1779
Rb 0.5938 0.5938 0.8221
Rb 0.5966 0.5966 0.3685
Rb 0.7624 0.7624 0.2549
Rb 0.9991 0.9991 0.7246
Ag 0.1321 0.1321 0.1238
Ag 0.8679 0.8679 0.8762
O 0.5000 0.5000 0.5000

Calculated values
D(E_F) ... 0.42 states/eV per atom
DFT total energy ... -1.81 eV/atom
Space-group type ... C2/m, No. 12
V ... 555.2 Å³ per cell
Offset from the most stable computed form ... 100 meV/atom

=====

Entry 2:
The following is a DFT calculation (PBE) of a geometry-optimized LaMnN3 structure.

Lattice parameters (Å, degrees): 3.8417 3.8417 10.8818 90.00 90.00 120.00
Positions (direct):
La 0.0000 0.0000 0.0000
La 0.0000 0.0000 0.5000
Mn 0.3333 0.6667 0.2500
Mn 0.6667 0.3333 0.7500
N 0.0000 0.0000 0.2500
N 0.0000 0.0000 0.7500
N 0.3333 0.6667 0.0927
N 0.3333 0.6667 0.4073
N 0.6667 0.3333 0.5927
N 0.6667 0.3333 0.9073

Calculated values
D(E_F) ... 0.54 states/eV per atom
DFT total energy ... -7.90 eV/atom
Space-group type ... P6_3/mmc, No. 194
V ... 139.1 Å³ per cell

=====

Please write out number 1 again, unchanged.
The following is a DFT calculation (PBE) of a geometry-optimized Rb8Ag2O structure.

Lattice parameters (Å, degrees): 12.4393 12.4393 7.9680 107.72 107.72 28.31
Positions (direct):
Rb 0.0009 0.0009 0.2754
Rb 0.2376 0.2376 0.7451
Rb 0.4034 0.4034 0.6315
Rb 0.4062 0.4062 0.1779
Rb 0.5938 0.5938 0.8221
Rb 0.5966 0.5966 0.3685
Rb 0.7624 0.7624 0.2549
Rb 0.9991 0.9991 0.7246
Ag 0.1321 0.1321 0.1238
Ag 0.8679 0.8679 0.8762
O 0.5000 0.5000 0.5000

Calculated values
D(E_F) ... 0.42 states/eV per atom
DFT total energy ... -1.81 eV/atom
Space-group type ... C2/m, No. 12
V ... 555.2 Å³ per cell
Offset from the most stable computed form ... 100 meV/atom

=====

Q: The lowest D(E_F) belongs to which entry?
A: Rb8Ag2O